{"formula": "ScAsRuBr2", "functional": "PBE", "state": "optimized geometry", "cell": [[5.049, 0.000, 0.000], [0.000, 5.049, 0.000], [0.000, 0.000, 4.773]], "species": ["Sc", "As", "Ru", "Br", "Br"], "fractional_positions": [[0.000, 0.000, 0.000], [0.500, 0.500, 0.000], [0.500, 0.500, 0.500], [0.000, 0.500, 0.500], [0.500, 0.000, 0.500]], "e_above_lowest_polymorph_mev_per_atom": 0, "magmom_total_mub_per_atom": 0.000, "dos_at_fermi_per_ev_fu": 6.7, "e_form_raw_ev_per_atom": 0.1648}